# 1
Material: BaTlOs2
Method: DFT, PBEsol
State: relaxed

E_form   0.3850 eV/atom
Symmetry   R3m, No. 160
Spin magnetization   0.00 μB per formula unit

a = 4.2298 Å, b = 4.2298 Å, c = 7.1904 Å
α = 72.89°, β = 72.89°, γ = 60.00°
Atoms (fractional coordinates):
Os  0.9519  0.9519  0.1442
Os  0.2834  0.2834  0.1499
Ba  0.7380  0.7380  0.7861
Tl  0.5315  0.5315  0.4054

=====

# 2
Material: BaTl3Os
Method: DFT, PBEsol
State: relaxed

E_form   0.1082 eV/atom
Symmetry   Pm-3m, No. 221
Spin magnetization   0.00 μB per formula unit

a = 5.2548 Å, b = 5.2548 Å, c = 5.2548 Å
α = 90.00°, β = 90.00°, γ = 90.00°
Atoms (fractional coordinates):
Tl  0.5000  0.0000  0.0000
Tl  0.0000  0.5000  0.0000
Tl  0.0000  0.0000  0.5000
Ba  0.5000  0.5000  0.5000
Os  0.0000  0.0000  0.0000

=====

# 3
Material: BaOs2W
Method: DFT, PBEsol
State: relaxed

E_form   0.5928 eV/atom
Symmetry   P2/m, No. 10
Energy relative to the lowest polymorph listed for this composition   0.00 eV per formula unit
Spin magnetization   0.00 μB per formula unit

a = 3.1022 Å, b = 3.1034 Å, c = 8.5978 Å
α = 90.00°, β = 111.37°, γ = 90.00°
Atoms (fractional coordinates):
Ba  0.0000  0.5000  0.5000
Os  0.1846  0.0000  0.1830
Os  0.8154  0.0000  0.8170
W  0.5000  0.5000  0.0000

=====

# 4
Material: BaOs2W
Method: DFT, PBEsol
State: relaxed

E_form   0.8715 eV/atom
Symmetry   Pmm2, No. 25
Energy relative to the lowest polymorph listed for this composition   1.12 eV per formula unit
Spin magnetization   0.00 μB per formula unit

a = 2.8474 Å, b = 3.7077 Å, c = 7.7218 Å
α = 90.00°, β = 90.00°, γ = 90.00°
Atoms (fractional coordinates):
Ba  0.5000  0.5000  0.7616
Os  0.5000  0.5000  0.2417
Os  0.0000  0.0000  0.0836
W  0.0000  0.0000  0.4132